Entry 1:
Below is a relaxed TaCd2Se crystal, with properties calculated at the GGA-PBE level.

```
TaCd2Se
1.0
2.9702 0.0000 0.0000
0.0000 2.9702 0.0000
0.0000 0.0000 9.5839
Ta Cd Se
1 2 1
Direct
0.0000 0.0000 0.0000
0.5000 0.5000 0.2291
0.5000 0.5000 0.7709
0.0000 0.0000 0.5000
```

Summary:
Its crystal system is tetragonal. Its uncorrected formation energy is 296 meV/atom. The calculation puts the volume at 84.55 Å³/cell. The space group is P4/mmm.

***

Entry 2:
Below is a relaxed Ta2CdSe crystal, with properties calculated at the GGA-PBE level.

```
Ta2CdSe
1.0
1.7862 -2.4137 0.0000
1.7862 2.4137 0.0000
0.0000 0.0000 9.7408
Ta Cd Se
2 1 1
Direct
0.0000 0.0000 0.0000
0.5000 0.5000 0.2175
0.5000 0.5000 0.7597
0.0000 0.0000 0.4160
```

Summary:
The value obtained for the energy above the most stable polymorph in this dataset is 0.000 eV per atom. Its crystal system is orthorhombic. Its uncorrected formation energy is 11 meV/atom. The calculation puts the volume at 83.99 Å³/cell. The space group is Cmm2.